Here is SmPuAu4 after structural relaxation from the Alexandria database. Energies are from PBE-GGA.

Lattice parameters (Å, degrees): 5.704 5.704 5.704 60.00 60.00 60.00
Each line ends with the local moment (μB).
Element x y z (fractional)
Au (0.625, 0.625, 0.125)  0.01
Au (0.625, 0.125, 0.625)  0.01
Au (0.625, 0.625, 0.625)  0.01
Au (0.125, 0.625, 0.625)  0.01
Sm (0.000, 0.000, 0.000)  0.16
Pu (0.250, 0.250, 0.250)  5.49

---

Here is B5C7 after structural relaxation from the Alexandria database. Energies are from PBE-GGA.

Lattice parameters (Å, degrees): 4.647 4.647 4.771 100.32 100.32 120.23
Element x y z (fractional)
B (0.204, 0.870, 0.584)
B (0.004, 0.670, 0.042)
B (0.537, 0.537, 0.584)
B (0.337, 0.337, 0.042)
B (0.837, 0.171, 0.493)
C (0.337, 0.670, 0.996)
C (0.216, 0.549, 0.626)
C (0.699, 0.032, 0.116)
C (0.657, 0.306, 0.005)
C (0.562, 0.222, 0.629)
C (0.972, 0.990, 0.005)
C (0.888, 0.896, 0.629)

---

no.,ΔE to the lowest computed polymorph (meV/atom),E (eV per atom)
1,194,-5.768
2,132,-7.773